VASP calculation (PBE+U) on a relaxed MnHO2 crystal.

Properties
**M_tot**: 4.00 μB per formula unit
**Final energy**: -52.1 eV per cell

a b c (Å): 2.959 5.194 4.921
angles (deg): 90.00 90.00 90.00
Space group Pmn2_1 (No. 31)
Unique sites:
Mn 0.000 0.147 0.000 (multiplicity 2)
H 0.000 0.421 0.497 (multiplicity 2)
O 0.000 0.096 0.466 (multiplicity 2)
O 0.000 0.613 0.476 (multiplicity 2)